# Ca2In3Sn4

A relaxed structure of Ca2In3Sn4 (PBE-GGA, Alexandria).

Results
Its energy of formation from the pure elements is -6.9 kcal/mol of atoms. The magnetic moment is 0.00 μB per formula unit. As for the total energy: -3.435 eV/atom. The symmetry is C2/m.

a b c (Å): 4.435 5.955 10.585
angles (deg): 72.17 77.91 68.14
Sites, in units of the cell vectors:
Ca 0.347 0.083 0.223
Ca 0.653 0.917 0.777
In 0.340 0.770 0.549
In 0.000 0.000 0.000
In 0.660 0.230 0.451
Sn 0.675 0.539 0.112
Sn 0.974 0.374 0.679
Sn 0.026 0.626 0.321
Sn 0.325 0.461 0.888


# Mg2TlAg

A relaxed structure of Mg2TlAg (PBE-GGA, Alexandria).

Results
Its energy of formation from the pure elements is -1.5 kcal/mol of atoms. The magnetic moment is 0.00 μB per formula unit. As for the total energy: -2.167 eV/atom. The symmetry is Cm.

a b c (Å): 5.419 5.419 4.919
angles (deg): 74.32 74.32 39.18
Sites, in units of the cell vectors:
Tl 0.507 0.507 0.524
Mg 0.987 0.987 0.046
Mg 0.753 0.753 0.729
Ag 0.253 0.253 0.201


# ErGa2CuNi2

A relaxed structure of ErGa2CuNi2 (PBE-GGA, Alexandria).

Results
Its energy of formation from the pure elements is 0.0 kcal/mol of atoms. The magnetic moment is 0.00 μB per formula unit. As for the total energy: -4.378 eV/atom. The symmetry is P4/mmm.

a b c (Å): 4.429 4.429 5.236
angles (deg): 90.00 90.00 90.00
Sites, in units of the cell vectors:
Er 0.000 0.000 0.500
Ga 0.500 0.000 0.000
Ga 0.000 0.500 0.000
Cu 0.000 0.000 0.000
Ni 0.500 0.500 0.738
Ni 0.500 0.500 0.262


# Zn15AgPd4

A relaxed structure of Zn15AgPd4 (PBE-GGA, Alexandria).

Results
Its energy of formation from the pure elements is -6.1 kcal/mol of atoms. The magnetic moment is 0.00 μB per formula unit. As for the total energy: -2.399 eV/atom. The symmetry is P4/mmm.

a b c (Å): 3.866 3.866 19.605
angles (deg): 90.00 90.00 90.00
Sites, in units of the cell vectors:
Zn 0.500 0.500 0.000
Zn 0.500 0.500 0.202
Zn 0.500 0.500 0.401
Zn 0.500 0.500 0.599
Zn 0.500 0.500 0.798
Zn 0.500 0.000 0.104
Zn 0.500 0.000 0.301
Zn 0.500 0.000 0.500
Zn 0.500 0.000 0.699
Zn 0.500 0.000 0.896
Zn 0.000 0.500 0.104
Zn 0.000 0.500 0.301
Zn 0.000 0.500 0.500
Zn 0.000 0.500 0.699
Zn 0.000 0.500 0.896
Ag 0.000 0.000 0.000
Pd 0.000 0.000 0.202
Pd 0.000 0.000 0.400
Pd 0.000 0.000 0.600
Pd 0.000 0.000 0.798


# HoHf2Sc

A relaxed structure of HoHf2Sc (PBE-GGA, Alexandria).

Results
Its energy of formation from the pure elements is 2.7 kcal/mol of atoms. The offset from the most stable computed form comes out at 28 meV/atom. The magnetic moment is 0.00 μB per formula unit. As for the total energy: -7.587 eV/atom. The symmetry is R3m.

a b c (Å): 3.268 3.268 10.712
angles (deg): 81.23 81.23 60.00
Sites, in units of the cell vectors:
Ho 0.500 0.500 0.500
Hf 0.081 0.081 0.756
Hf 0.252 0.252 0.243
Sc 0.666 0.666 0.001


# LaGa4CuNi2

A relaxed structure of LaGa4CuNi2 (PBE-GGA, Alexandria).

Results
Its energy of formation from the pure elements is -9.3 kcal/mol of atoms. The magnetic moment is 0.00 μB per formula unit. As for the total energy: -4.490 eV/atom. The symmetry is R-3m.

a b c (Å): 4.153 4.153 9.293
angles (deg): 77.09 77.09 60.00
Sites, in units of the cell vectors:
La 0.000 0.000 0.000
Ga 0.406 0.406 0.782
Ga 0.871 0.871 0.387
Ga 0.129 0.129 0.613
Ga 0.594 0.594 0.218
Cu 0.500 0.500 0.500
Ni 0.772 0.772 0.683
Ni 0.228 0.228 0.317


# GaHgP2

A relaxed structure of GaHgP2 (PBE-GGA, Alexandria).

Results
Its energy of formation from the pure elements is 13.9 kcal/mol of atoms. The offset from the most stable computed form comes out at 556 meV/atom. The magnetic moment is 0.00 μB per formula unit. As for the total energy: -2.932 eV/atom. The symmetry is Fm-3m.

a b c (Å): 4.725 4.725 4.725
angles (deg): 60.00 60.00 60.00
Sites, in units of the cell vectors:
P 0.250 0.250 0.250
P 0.750 0.750 0.750
Hg 0.500 0.500 0.500
Ga 0.000 0.000 0.000


# SrCu3O3

A relaxed structure of SrCu3O3 (PBE-GGA, Alexandria).

Results
The calculation puts the uncorrected formation energy at -1.010 eV per atom. The magnetic moment is 0.00 μB per formula unit. As for the total energy: -5.131 eV/atom. The symmetry is P6_3/m.

a b c (Å): 3.183 8.630 8.630
angles (deg): 120.00 90.00 90.00
Sites, in units of the cell vectors:
Sr 0.250 0.667 0.333
Sr 0.750 0.333 0.667
Cu 0.750 0.712 0.709
Cu 0.750 0.997 0.288
Cu 0.250 0.709 0.997
Cu 0.750 0.291 0.003
Cu 0.250 0.003 0.712
Cu 0.250 0.288 0.291
O 0.750 0.409 0.260
O 0.750 0.851 0.591
O 0.250 0.260 0.851
O 0.750 0.740 0.149
O 0.250 0.149 0.409
O 0.250 0.591 0.740


# U2PaNb

A relaxed structure of U2PaNb (PBE-GGA, Alexandria).

Results
Its energy of formation from the pure elements is 8.3 kcal/mol of atoms. The offset from the most stable computed form comes out at 88 meV/atom. The magnetic moment is 4.67 μB per formula unit. As for the total energy: -10.177 eV/atom. The symmetry is Fm-3m.

a b c (Å): 4.964 4.964 4.964
angles (deg): 60.00 60.00 60.00
Last column: magnetic moment on the atom in μB.
Sites, in units of the cell vectors:
Nb 0.500 0.500 0.500  -0.06
Pa 0.000 0.000 0.000  0.75
U 0.250 0.250 0.250  1.77
U 0.750 0.750 0.750  1.77


# NaGaF2

A relaxed structure of NaGaF2 (PBE-GGA, Alexandria).

Results
The calculation puts the uncorrected formation energy at -2.040 eV per atom. The offset from the most stable computed form comes out at 45 meV/atom. The magnetic moment is 0.00 μB per formula unit. As for the total energy: -4.063 eV/atom. The symmetry is I-42d.

a b c (Å): 5.456 5.456 6.525
angles (deg): 65.29 65.29 90.00
Sites, in units of the cell vectors:
Na 0.500 0.500 0.000
Na 0.250 0.750 0.500
Ga 0.000 0.000 0.000
Ga 0.750 0.250 0.500
F 0.596 0.125 0.250
F 0.154 0.625 0.250
F 0.375 0.404 0.750
F 0.875 0.846 0.750


# LaDy5Ag4

A relaxed structure of LaDy5Ag4 (PBE-GGA, Alexandria).

Results
Its energy of formation from the pure elements is -5.7 kcal/mol of atoms. The magnetic moment is 0.01 μB per formula unit. As for the total energy: -4.183 eV/atom. The symmetry is P4/mmm.

a b c (Å): 3.608 3.608 20.011
angles (deg): 90.00 90.00 90.00
Sites, in units of the cell vectors:
La 0.000 0.000 0.000
Dy 0.500 0.500 0.132
Dy 0.500 0.500 0.315
Dy 0.500 0.500 0.500
Dy 0.500 0.500 0.685
Dy 0.500 0.500 0.868
Ag 0.000 0.000 0.222
Ag 0.000 0.000 0.408
Ag 0.000 0.000 0.592
Ag 0.000 0.000 0.778


# Sc3SnTe

A relaxed structure of Sc3SnTe (PBE-GGA, Alexandria).

Results
The calculation puts the uncorrected formation energy at -0.593 eV per atom. The offset from the most stable computed form comes out at 0 meV/atom. The magnetic moment is 0.93 μB per formula unit. As for the total energy: -5.821 eV/atom. The symmetry is C2/m.

a b c (Å): 4.031 8.790 8.842
angles (deg): 66.07 90.00 103.26
Last column: magnetic moment on the atom in μB.
Sites, in units of the cell vectors:
Sc 0.022 0.044 0.317  0.43
Sc 0.978 0.956 0.683  0.43
Sc 0.776 0.551 0.797  0.16
Sc 0.224 0.449 0.203  0.16
Sc 0.816 0.632 0.386  0.06
Sc 0.184 0.368 0.614  0.06
Sn 0.386 0.773 0.543  -0.02
Sn 0.614 0.227 0.457  -0.02
Te 0.141 0.281 0.969  -0.01
Te 0.859 0.719 0.031  -0.01